Crystalline BaNi2N4 at its relaxed geometry, computed with PBE.

E_form (uncorrected): -0.213 eV/atom
DOS at the Fermi energy: 1.44 states/eV/f.u.
symmetry: P-1, No. 2

The structure in CIF format:
```
data_BaNi2N4
_chemical_formula_sum 'Ba1 Ni2 N4'
_symmetry_space_group_name_H-M 'P 1'
_symmetry_Int_Tables_number 1
_symmetry_space_group_name_Hall 'P 1'
_cell_length_a 4.6422
_cell_length_b 4.9197
_cell_length_c 5.3129
_cell_angle_alpha 62.49
_cell_angle_beta 89.92
_cell_angle_gamma 89.80
loop_
_atom_site_label
_atom_site_type_symbol
_atom_site_fract_x
_atom_site_fract_y
_atom_site_fract_z
_atom_site_occupancy
Ba1 Ba 0.0000 0.0000 0.0000 1
Ni1 Ni 0.4991 0.3099 0.3825 1
Ni2 Ni 0.5009 0.6901 0.6175 1
N1 N 0.1281 0.3320 0.3338 1
N2 N 0.1298 0.6682 0.6651 1
N3 N 0.8702 0.3318 0.3349 1
N4 N 0.8719 0.6680 0.6662 1
```